No. 1
Computed, not measured: a PBEsol-optimized structure of Zr5Ag at the SCAN level of DFT.

Results
Relative energy among the computed polymorphs = 0.403 eV/atom
E_tot = -30.436 eV/atom
Formation enthalpy at 0 K = 2.2 eV/f.u.
M_tot = 0.0 Bohr magnetons per cell
Space group = F-43m, No. 216

Structure (extended XYZ):
```
6
Lattice="5.6847 0.0000 0.0000 2.8424 4.9231 0.0000 2.8424 1.6410 4.6416" Properties=species:S:1:pos:R:3 pbc="T T T"
Zr 5.6847 4.8993 1.7490
Zr 8.5271 4.9231 3.4812
Zr 5.6847 3.2821 4.0361
Zr 7.0853 2.4735 1.7490
Zr 4.2842 2.4735 1.7490
Ag 0.0000 0.0000 0.0000
```


No. 2
Computed, not measured: a PBEsol-optimized structure of PtAu3 at the SCAN level of DFT.

Results
E_tot = -69.346 eV/atom
Formation enthalpy at 0 K = 0.3 eV/f.u.
M_tot = 0.0 Bohr magnetons per cell
Space group = R-3m, No. 166

Structure (extended XYZ):
```
4
Lattice="2.7731 0.0000 0.0000 -0.9244 5.2370 0.0000 -0.9244 -2.6185 4.5353" Properties=species:S:1:pos:R:3 pbc="T T T"
Au 0.9244 2.6185 0.0000
Au -0.9244 1.3092 2.2677
Au 0.9244 -1.3092 2.2677
Pt 0.0000 0.0000 0.0000
```


No. 3
Computed, not measured: a PBEsol-optimized structure of LiLa3Co at the SCAN level of DFT.

Results
Relative energy among the computed polymorphs = 0.000 eV/atom
E_tot = -29.778 eV/atom
Formation enthalpy at 0 K = 0.1 eV/f.u.
M_tot = 0.3 Bohr magnetons per cell
Space group = Pm-3m, No. 221

Structure (extended XYZ):
```
5
Lattice="-0.7591 0.9260 5.2030 -5.0591 -1.6469 -0.4450 1.5278 -4.9935 1.1116" Properties=species:S:1:pos:R:3 pbc="T T T"
La -0.3795 0.4630 2.6015
La 0.7639 -2.4967 0.5558
La -2.5295 -0.8234 -0.2225
Li -2.1452 -2.8572 2.9348
Co 0.0000 0.0000 0.0000
```


No. 4
Computed, not measured: a PBEsol-optimized structure of Nb2CrAu at the SCAN level of DFT.

Results
E_tot = -38.358 eV/atom
Formation enthalpy at 0 K = 0.4 eV/f.u.
M_tot = 0.0 Bohr magnetons per cell
Space group = Fm-3m, No. 225

Structure (extended XYZ):
```
4
Lattice="4.5019 0.0000 0.0000 2.2510 3.8988 0.0000 2.2510 1.2996 3.6758" Properties=species:S:1:pos:R:3 pbc="T T T"
Nb 2.2510 1.2996 0.9189
Nb 6.7529 3.8988 2.7568
Cr 0.0000 0.0000 0.0000
Au 4.5019 2.5992 1.8379
```